Entry 1:
PBE-GGA CeDyY2S6, optimized geometry; D(E_F) = 5.0 states/eV/f.u.; symmetry = No. 146; formation energy from raw total energies = -2.02 eV/atom
1.0
-3.7870 5.0626 -2.9922
-1.5568 -0.3574 -6.8098
-6.9836 -1.5238 -1.9159
S Ce Dy Y
6 1 1 2
Direct
0.9154 0.6149 0.2480 S
0.2217 0.9154 0.2480 S
0.6149 0.2217 0.2480 S
0.7194 0.1318 0.7499 S
0.3989 0.7194 0.7499 S
0.1318 0.3989 0.7499 S
0.8111 0.8111 0.5666 Ce
0.3157 0.3157 0.0529 Dy
0.0148 0.0148 0.9556 Y
0.5179 0.5179 0.4464 Y


Entry 2:
PBE-GGA Ac6PIr2Br3, optimized geometry; D(E_F) = 2.0 states/eV/f.u.; symmetry = No. 12; formation energy from raw total energies = -1.25 eV/atom
1.0
-0.0587 -7.2944 2.3555
5.8774 4.5694 1.8271
-5.7839 3.1369 5.4545
Ir P Ac Br
2 1 6 3
Direct
0.3332 0.6668 0.0000 Ir
0.6668 0.3332 0.0000 Ir
0.0000 0.0000 0.0000 P
0.2801 0.2801 0.8040 Ac
0.5900 0.9350 0.8040 Ac
0.7199 0.7199 0.1960 Ac
0.0650 0.4100 0.1960 Ac
0.9350 0.5900 0.8040 Ac
0.4100 0.0650 0.1960 Ac
0.1647 0.8353 0.5000 Br
0.5000 0.5000 0.5000 Br
0.8353 0.1647 0.5000 Br


Entry 3:
PBE-GGA RbTiAs2Br, optimized geometry; excess energy over the best structure of this formula in the dataset = 1935 meV per atom; D(E_F) = 5.4 states/eV/f.u.; symmetry = No. 123; formation energy from raw total energies = 1.33 eV/atom
1.0
5.6211 0.0000 0.0000
0.0000 5.6211 0.0000
0.0000 0.0000 5.8404
Rb As Br Ti
1 2 1 1
Direct
0.0000 0.0000 0.0000 Rb
0.5000 0.0000 0.0000 As
0.0000 0.5000 0.0000 As
0.0000 0.0000 0.5000 Br
0.5000 0.5000 0.5000 Ti


Entry 4:
PBE-GGA BiHBr3, optimized geometry; excess energy over the best structure of this formula in the dataset = 0 meV per atom; symmetry = No. 2
1.0
-0.0353 4.0093 -3.9967
-9.0901 -1.1982 2.9476
4.3915 4.7306 4.6634
Br Bi H
6 2 2
Direct
0.4123 0.8576 0.7550 Br
0.6318 0.2964 0.6665 Br
0.9593 0.9523 0.3806 Br
0.3101 0.6544 0.0381 Br
0.0846 0.2018 0.0408 Br
0.7338 0.4998 0.3835 Br
0.5618 0.1556 0.0653 Bi
0.4822 0.9985 0.3563 Bi
0.3485 0.7310 0.8995 H
0.6954 0.4230 0.5222 H


Entry 5:
PBE-GGA EuGa2Co, optimized geometry; D(E_F) = 3.7 states/eV/f.u.; symmetry = No. 166; calculated formation energy = 0.25 eV/atom
1.0
-1.8413 2.5325 0.3622
-2.5309 -0.1465 1.8729
3.8504 3.5973 8.1369
Ga Co Eu
2 1 1
Direct
0.3917 0.3917 0.8250 Ga
0.6083 0.6083 0.1750 Ga
0.0000 0.0000 0.0000 Co
0.5000 0.5000 0.5000 Eu


Entry 6:
PBE-GGA TmMg2Zn2, optimized geometry; excess energy over the best structure of this formula in the dataset = 30 meV per atom; D(E_F) = 2.4 states/eV/f.u.; symmetry = No. 11; calculated formation energy = -0.16 eV/atom
1.0
3.4081 0.0000 0.0000
0.0000 4.9378 0.0505
0.0000 -1.1137 12.4461
Zn Mg Tm
4 4 2
Direct
0.7500 0.2224 0.3396 Zn
0.2500 0.3376 0.9520 Zn
0.2500 0.7776 0.6604 Zn
0.7500 0.6624 0.0480 Zn
0.2500 0.2542 0.5231 Mg
0.7500 0.1708 0.1227 Mg
0.7500 0.7458 0.4769 Mg
0.2500 0.8292 0.8773 Mg
0.7500 0.3014 0.7502 Tm
0.2500 0.6986 0.2498 Tm


Entry 7:
PBE-GGA Sm5DyTl4, optimized geometry; excess energy over the best structure of this formula in the dataset = 239 meV per atom; D(E_F) = 11.0 states/eV/f.u.; symmetry = No. 59; calculated formation energy = -0.05 eV/atom
1.0
-4.8236 -3.2363 6.5640
2.7134 -7.4673 -1.6876
7.2196 1.2816 5.9372
Tl Sm Dy
8 10 2
Direct
0.4365 0.8267 0.5000 Tl
0.5635 0.6733 0.0000 Tl
0.5635 0.3267 0.0000 Tl
0.9987 0.0000 0.8354 Tl
0.9987 0.0000 0.1646 Tl
0.0013 0.5000 0.6646 Tl
0.4365 0.1733 0.5000 Tl
0.0013 0.5000 0.3354 Tl
0.7270 0.2432 0.6940 Sm
0.2730 0.7432 0.8060 Sm
0.7270 0.2432 0.3060 Sm
0.2730 0.2568 0.8060 Sm
0.2730 0.2568 0.1940 Sm
0.2730 0.7432 0.1940 Sm
0.7270 0.7568 0.3060 Sm
0.0805 0.0000 0.5000 Sm
0.7270 0.7568 0.6940 Sm
0.9195 0.5000 0.0000 Sm
0.6849 0.0000 0.0000 Dy
0.3151 0.5000 0.5000 Dy


Entry 8:
PBE-GGA AcTb5Dy2Tm, optimized geometry; D(E_F) = 12.5 states/eV/f.u.; symmetry = No. 140; calculated formation energy = 0.29 eV/atom
1.0
-1.7643 4.1602 -7.8615
6.3146 -5.0585 -4.0940
-7.4057 -4.6874 4.4110
Tb Tm Dy Ac
10 2 4 2
Direct
0.8285 0.9246 0.2531 Tb
0.1715 0.0754 0.7469 Tb
0.4246 0.3285 0.2531 Tb
0.0754 0.5754 0.7469 Tb
0.9246 0.4246 0.2531 Tb
0.6715 0.1715 0.7469 Tb
0.5000 0.5000 0.0000 Tb
0.0000 0.0000 0.0000 Tb
0.5754 0.6715 0.7469 Tb
0.3285 0.8285 0.2531 Tb
0.2500 0.7500 0.5000 Tm
0.7500 0.2500 0.5000 Tm
0.8880 0.6120 0.0000 Dy
0.1120 0.3880 0.0000 Dy
0.6120 0.1120 0.0000 Dy
0.3880 0.8880 0.0000 Dy
0.2500 0.2500 0.5000 Ac
0.7500 0.7500 0.5000 Ac


Entry 9:
PBE-GGA Na2Ga5Rh, optimized geometry; D(E_F) = 2.5 states/eV/f.u.; symmetry = No. 107; calculated formation energy = -0.20 eV/atom
1.0
-0.4140 0.7083 -5.7011
-5.6915 -0.8283 0.3103
2.3120 5.4192 3.4150
Na Ga Rh
2 5 1
Direct
0.2880 0.7879 0.5759 Na
0.7879 0.2880 0.5759 Na
0.6952 0.6952 0.3904 Ga
0.7561 0.2871 0.0432 Ga
0.2871 0.2871 0.0432 Ga
0.2871 0.7561 0.0432 Ga
0.7561 0.7561 0.0432 Ga
0.9196 0.9196 0.8392 Rh


Entry 10:
PBE-GGA TaRhS2Cl, optimized geometry; excess energy over the best structure of this formula in the dataset = 482 meV per atom; D(E_F) = 3.7 states/eV/f.u.; symmetry = No. 123; formation energy from raw total energies = 0.68 eV/atom
1.0
4.6401 0.0000 0.0000
0.0000 4.6401 0.0000
0.0000 0.0000 4.5153
Cl S Ta Rh
1 2 1 1
Direct
0.0000 0.0000 0.5000 Cl
0.0000 0.5000 0.0000 S
0.5000 0.0000 0.0000 S
0.5000 0.5000 0.5000 Ta
0.0000 0.0000 0.0000 Rh


Entry 11:
PBE-GGA Tb2SmY5Tm, optimized geometry; D(E_F) = 12.0 states/eV/f.u.; symmetry = No. 140; calculated formation energy = 0.28 eV/atom
1.0
8.8718 0.0000 0.0000
0.0000 8.8718 0.0000
-4.4359 -4.4359 7.4641
Tb Sm Y Tm
4 2 10 2
Direct
0.3864 0.8864 0.0000 Tb
0.6136 0.1136 0.0000 Tb
0.8864 0.6136 0.0000 Tb
0.1136 0.3864 0.0000 Tb
0.2500 0.2500 0.5000 Sm
0.7500 0.7500 0.5000 Sm
0.8401 0.9282 0.2683 Y
0.4282 0.3401 0.2683 Y
0.3401 0.8401 0.2683 Y
0.5000 0.5000 0.0000 Y
0.6599 0.1599 0.7317 Y
0.5718 0.6599 0.7317 Y
0.1599 0.0718 0.7317 Y
0.0000 0.0000 0.0000 Y
0.9282 0.4282 0.2683 Y
0.0718 0.5718 0.7317 Y
0.7500 0.2500 0.5000 Tm
0.2500 0.7500 0.5000 Tm


Entry 12:
PBE-GGA Tb12CeTm5, optimized geometry; D(E_F) = 32.9 states/eV/f.u.; symmetry = No. 12; calculated formation energy = 0.14 eV/atom
1.0
11.1471 0.0000 -2.9619
5.5735 5.1983 -1.4809
-2.7296 0.0000 10.6738
Tb Ce Tm
12 1 5
Direct
0.6920 0.0000 0.3316 Tb
0.3587 0.6668 0.3285 Tb
0.3381 0.0000 0.1524 Tb
0.9939 0.3315 0.8473 Tb
0.0061 0.6685 0.1527 Tb
0.6619 0.0000 0.8476 Tb
0.3080 0.0000 0.6684 Tb
0.9745 0.6668 0.6715 Tb
0.6413 0.3332 0.6715 Tb
0.0255 0.3332 0.3285 Tb
0.3255 0.6685 0.8473 Tb
0.6745 0.3315 0.1527 Tb
0.0000 0.0000 0.0000 Ce
0.8336 0.3328 0.5000 Tm
0.6672 0.6656 0.0000 Tm
0.3328 0.3344 0.0000 Tm
0.5000 0.0000 0.5000 Tm
0.1664 0.6672 0.5000 Tm


What did the eleventh record say?
PBE-GGA Tb2SmY5Tm, optimized geometry; D(E_F) = 12.0 states/eV/f.u.; symmetry = No. 140; calculated formation energy = 0.28 eV/atom
1.0
8.8718 0.0000 0.0000
0.0000 8.8718 0.0000
-4.4359 -4.4359 7.4641
Tb Sm Y Tm
4 2 10 2
Direct
0.3864 0.8864 0.0000 Tb
0.6136 0.1136 0.0000 Tb
0.8864 0.6136 0.0000 Tb
0.1136 0.3864 0.0000 Tb
0.2500 0.2500 0.5000 Sm
0.7500 0.7500 0.5000 Sm
0.8401 0.9282 0.2683 Y
0.4282 0.3401 0.2683 Y
0.3401 0.8401 0.2683 Y
0.5000 0.5000 0.0000 Y
0.6599 0.1599 0.7317 Y
0.5718 0.6599 0.7317 Y
0.1599 0.0718 0.7317 Y
0.0000 0.0000 0.0000 Y
0.9282 0.4282 0.2683 Y
0.0718 0.5718 0.7317 Y
0.7500 0.2500 0.5000 Tm
0.2500 0.7500 0.5000 Tm


Q: Number 5 is which compound?
A: EuGa2Co